VASP calculation (SCAN) on Sb3PtCl at its PBEsol-relaxed geometry.

Summary:
Calculated volume (Å³/atom): 26.4
Uncorrected energy (eV per atom): -36.6793
Spin magnetization (μB/cell): 0.00
Uncorrected formation energy (meV per atom): 1311.3

Cell lengths 5.0941, 5.0941, 5.0941 Å; angles 90.00, 90.00, 90.00 degrees
Space group Pm-3m (No. 221)
Symmetry-distinct sites (fractional):
Sb 0.0000 0.0000 0.5000 x3
Pt 0.5000 0.5000 0.5000 x1
Cl 0.0000 0.0000 0.0000 x1